(1)
# SrTa2O6 (PBE-GGA, optimized geometry)
# final energy: -9.15 eV/atom
data_SrTa2O6
_chemical_formula_sum 'Sr4 Ta8 O24'
_symmetry_space_group_name_H-M 'P n m a'
_symmetry_Int_Tables_number 62
_symmetry_space_group_name_Hall '-P 2ac 2n'
_cell_length_a 11.029
_cell_length_b 7.632
_cell_length_c 5.605
_cell_angle_alpha 90.00
_cell_angle_beta 90.00
_cell_angle_gamma 90.00
loop_
_atom_site_label
_atom_site_fract_x
_atom_site_fract_y
_atom_site_fract_z
Sr1 0.040 0.250 0.039
Ta1 0.143 0.504 0.538
O1 0.025 0.536 0.280
O2 0.129 0.750 0.645
O3 0.148 0.250 0.465
O4 0.212 0.052 0.863

=====

(2)
# Sr2Ta2O7 (PBE-GGA, optimized geometry)
# final energy: -8.67 eV/atom
data_Sr2Ta2O7
_chemical_formula_sum 'Sr8 Ta8 O28'
_symmetry_space_group_name_H-M 'C m c m'
_symmetry_Int_Tables_number 63
_symmetry_space_group_name_Hall '-C 2c 2'
_cell_length_a 3.963
_cell_length_b 27.178
_cell_length_c 5.695
_cell_angle_alpha 90.00
_cell_angle_beta 90.00
_cell_angle_gamma 90.00
loop_
_atom_site_label
_atom_site_fract_x
_atom_site_fract_y
_atom_site_fract_z
Sr1 0.000 0.054 0.250
Sr2 0.000 0.213 0.750
Ta1 0.000 0.339 0.750
Ta2 0.000 0.445 0.250
O1 0.000 0.047 0.750
O2 0.000 0.150 0.250
O3 0.000 0.292 0.509
O4 0.000 0.400 0.509
O5 0.000 0.500 0.000

=====

(3)
# SrTa2O6 (PBE-GGA, optimized geometry)
# final energy: -9.13 eV/atom
data_SrTa2O6
_chemical_formula_sum 'Sr1 Ta2 O6'
_symmetry_space_group_name_H-M 'P -3 1 m'
_symmetry_Int_Tables_number 162
_symmetry_space_group_name_Hall '-P 3 2'
_cell_length_a 5.3199
_cell_length_b 5.3199
_cell_length_c 5.2159
_cell_angle_alpha 90.00
_cell_angle_beta 90.00
_cell_angle_gamma 120.00
loop_
_atom_site_label
_atom_site_fract_x
_atom_site_fract_y
_atom_site_fract_z
Sr1 0.0000 0.0000 0.0000
Ta1 0.3333 0.6667 0.5000
O1 0.0000 0.3799 0.2886